## ScGePd2 (GGA-PBE)

Data for an optimized crystal structure of ScGePd2.

The space group is F-43m (No. 216) and the conventional cell measures 6.436, 6.436 and 6.436 Å, with angles of 90.00, 90.00 and 90.00 degrees. The asymmetric unit holds Sc at (0.000, 0.000, 0.000), Ge at (0.250, 0.250, 0.750), Pd at (0.000, 0.000, 0.500) and Pd at (0.250, 0.250, 0.250).

For the total moment, the calculation gives 0.001 μB per formula unit. The value obtained for the calculated density is 8.233 g/cm³. The total energy is -5.98 eV/atom.

---

## HoBr2 (GGA-PBE)

Data for an optimized crystal structure of HoBr2.

The space group is Fd-3m (No. 227, origin choice 2) and the conventional cell measures 12.452, 12.452 and 12.452 Å, with angles of 90.00, 90.00 and 90.00 degrees. The asymmetric unit holds Ho at (0.125, 0.125, 0.125) and Br at (0.000, 0.000, 0.000).

For the total moment, the calculation gives 0.999 μB per formula unit. The value obtained for the calculated density is 2.235 g/cm³. The total energy is -3.71 eV/atom.

---

## SrBeSnPd (GGA-PBE)

Data for an optimized crystal structure of SrBeSnPd.

The space group is F-43m (No. 216) and the conventional cell measures 6.888, 6.888 and 6.888 Å, with angles of 90.00, 90.00 and 90.00 degrees. The asymmetric unit holds Sr at (0.000, 0.000, 0.000), Be at (0.250, 0.250, 0.750), Sn at (0.000, 0.000, 0.500) and Pd at (0.250, 0.250, 0.250).

The value obtained for the calculated density is 6.539 g/cm³. The total energy is -3.75 eV/atom.

---

## ZrFeAgPb (GGA-PBE)

Data for an optimized crystal structure of ZrFeAgPb.

The space group is F-43m (No. 216) and the conventional cell measures 6.663, 6.663 and 6.663 Å, with angles of 90.00, 90.00 and 90.00 degrees. The asymmetric unit holds Zr at (0.000, 0.000, 0.000), Fe at (0.250, 0.250, 0.750), Ag at (0.250, 0.250, 0.250) and Pb at (0.000, 0.000, 0.500).

For the total moment, the calculation gives 1.502 μB per formula unit. The value obtained for the calculated density is 10.377 g/cm³. The total energy is -5.65 eV/atom.